(1)
NbBiO4 after structural relaxation, computed with PBE-GGA.

```
NbBiO4
1.0
5.720 0.000 0.000
0.000 11.664 0.000
0.000 0.000 5.004
O Nb Bi
16 4 4
Direct
0.861 0.811 0.005
0.639 0.311 0.495
0.139 0.311 0.505
0.639 0.189 0.005
0.079 0.599 0.080
0.421 0.099 0.420
0.361 0.689 0.505
0.079 0.901 0.420
0.861 0.689 0.495
0.921 0.401 0.920
0.421 0.401 0.080
0.921 0.099 0.580
0.139 0.189 0.995
0.579 0.901 0.580
0.361 0.811 0.995
0.579 0.599 0.920
0.154 0.750 0.250
0.846 0.250 0.750
0.654 0.750 0.750
0.346 0.250 0.250
0.750 0.000 0.272
0.250 0.000 0.728
0.250 0.500 0.772
0.750 0.500 0.228
```

Summary:
theoretical density	7.3	Mg/m³
M_tot	0.001	Bohr magnetons per cell

(2)
Nb3Bi5O15 after structural relaxation, computed with PBE-GGA.

```
Nb3Bi5O15
1.0
-11.570 15.515 -9.176
-3.636 -3.707 -1.682
-2.828 0.654 4.671
Bi O Nb
10 30 6
Direct
0.744 0.757 0.477
0.376 0.234 0.513
0.000 0.750 0.534
0.624 0.734 0.013
0.256 0.743 0.477
0.000 0.250 0.034
0.256 0.257 0.977
0.376 0.766 0.013
0.744 0.243 0.977
0.624 0.266 0.513
0.906 0.058 0.157
0.000 0.750 0.936
0.195 0.246 0.469
0.306 0.000 0.216
0.000 0.250 0.436
0.694 0.500 0.716
0.694 0.500 0.216
0.523 0.006 0.677
0.589 0.652 0.404
0.910 0.454 0.760
0.094 0.442 0.157
0.309 0.498 0.728
0.906 0.942 0.657
0.306 0.000 0.716
0.090 0.954 0.260
0.692 0.998 0.228
0.094 0.558 0.657
0.477 0.494 0.677
0.692 0.002 0.728
0.806 0.254 0.469
0.195 0.754 0.969
0.090 0.046 0.760
0.309 0.502 0.228
0.589 0.348 0.904
0.412 0.152 0.904
0.806 0.746 0.969
0.477 0.506 0.177
0.910 0.546 0.260
0.523 0.994 0.177
0.412 0.848 0.404
0.500 0.250 0.964
0.500 0.750 0.464
0.111 0.750 0.977
0.889 0.250 0.477
0.111 0.250 0.477
0.889 0.750 0.977
```

Summary:
theoretical density	8.1	Mg/m³
M_tot	0.017	Bohr magnetons per cell

(3)
NbBiPbO5 after structural relaxation, computed with PBE-GGA.

```
NbBiPbO5
1.0
0.695 4.207 5.719
-4.707 2.423 4.781
1.974 -6.785 1.540
O Pb Bi Nb
10 2 2 2
Direct
0.613 0.088 0.200
0.795 0.795 0.652
0.387 0.912 0.800
0.445 0.445 0.629
0.229 0.771 0.000
0.555 0.555 0.371
0.205 0.205 0.348
0.912 0.387 0.800
0.771 0.229 0.000
0.088 0.613 0.200
0.342 0.342 0.867
0.658 0.658 0.133
0.996 0.996 0.755
0.004 0.004 0.245
0.651 0.651 0.646
0.349 0.349 0.354
```

Summary:
theoretical density	7.8	Mg/m³
M_tot	0.001	Bohr magnetons per cell

(4)
NbBiTe2O8 after structural relaxation, computed with PBE-GGA.

```
NbBiTe2O8
1.0
5.609 0.000 0.000
0.000 8.032 0.000
0.000 0.000 30.927
Nb Te O Bi
8 16 64 8
Direct
0.771 0.556 0.792
0.229 0.444 0.208
0.729 0.444 0.292
0.771 0.944 0.292
0.229 0.056 0.708
0.271 0.556 0.708
0.271 0.944 0.208
0.729 0.056 0.792
0.269 0.135 0.334
0.759 0.638 0.919
0.759 0.862 0.419
0.269 0.365 0.834
0.741 0.362 0.419
0.231 0.635 0.334
0.769 0.365 0.666
0.241 0.362 0.081
0.731 0.865 0.666
0.769 0.135 0.166
0.259 0.862 0.081
0.241 0.138 0.581
0.741 0.138 0.919
0.231 0.865 0.834
0.731 0.635 0.166
0.259 0.638 0.581
0.505 0.497 0.344
0.983 0.555 0.666
0.488 0.840 0.034
0.010 0.112 0.957
0.785 0.784 0.797
0.490 0.888 0.457
0.517 0.445 0.166
0.168 0.687 0.392
0.072 0.526 0.758
0.668 0.813 0.608
0.928 0.026 0.742
0.495 0.503 0.656
0.669 0.609 0.432
0.488 0.660 0.534
0.285 0.716 0.203
0.005 0.003 0.656
0.669 0.891 0.932
0.072 0.974 0.258
0.832 0.313 0.608
0.483 0.945 0.334
0.990 0.612 0.543
0.990 0.888 0.043
0.012 0.160 0.534
0.483 0.555 0.834
0.928 0.474 0.242
0.572 0.974 0.242
0.215 0.284 0.703
0.017 0.055 0.834
0.988 0.840 0.466
0.428 0.026 0.758
0.331 0.109 0.068
0.668 0.687 0.108
0.169 0.891 0.568
0.995 0.503 0.844
0.988 0.660 0.966
0.505 0.003 0.844
0.332 0.313 0.892
0.572 0.526 0.742
0.215 0.216 0.203
0.983 0.945 0.166
0.169 0.609 0.068
0.005 0.497 0.156
0.512 0.340 0.466
0.010 0.388 0.457
0.331 0.391 0.568
0.495 0.997 0.156
0.510 0.112 0.543
0.490 0.612 0.957
0.995 0.997 0.344
0.785 0.716 0.297
0.715 0.216 0.297
0.831 0.391 0.932
0.831 0.109 0.432
0.428 0.474 0.258
0.517 0.055 0.666
0.510 0.388 0.043
0.017 0.445 0.334
0.715 0.284 0.797
0.332 0.187 0.392
0.832 0.187 0.108
0.168 0.813 0.892
0.285 0.784 0.703
0.012 0.340 0.034
0.512 0.160 0.966
0.713 0.370 0.538
0.287 0.630 0.462
0.213 0.130 0.462
0.287 0.870 0.962
0.787 0.630 0.038
0.787 0.870 0.538
0.213 0.370 0.962
0.713 0.130 0.038
```

Summary:
theoretical density	6.5	Mg/m³
M_tot	0.001	Bohr magnetons per cell

Record order is preserved below.
VASP energy: -7.7004 -7.2686 -7.1079 -6.5444 eV/atom